# 1
Computed, not measured: a relaxed Cu5Ag2Au2 crystal at the PBE-GGA level of DFT.

Unit cell a=4.976 b=7.726 c=6.440 alpha=144.59 beta=78.08 gamma=99.80
Fractional coordinates of all 9 atoms:
Cu (0.033, 0.770, 0.417)
Cu (0.211, 0.723, 0.981)
Cu (0.789, 0.277, 0.019)
Cu (0.000, 0.000, 0.000)
Cu (0.967, 0.230, 0.583)
Au (0.494, 0.759, 0.614)
Au (0.506, 0.241, 0.386)
Ag (0.330, 0.265, 0.874)
Ag (0.670, 0.735, 0.126)

## Properties
DFT formation energy, eV/atom: 0.111
D(E_F), states/eV/atom: 0.22
Magnetization, μB per formula unit: 0.00
Mass density, g cm⁻³: 10.97
Space-group type: P-1, No. 2
Volume, A^3/atom: 15.594


# 2
Computed, not measured: a relaxed Cu2AgAu crystal at the PBE-GGA level of DFT.

Unit cell a=4.087 b=4.077 c=3.609 alpha=90.00 beta=90.00 gamma=90.00
Fractional coordinates of all 4 atoms:
Ag (0.500, 0.000, 0.500)
Cu (0.500, 0.500, 0.000)
Cu (0.000, 0.000, 0.000)
Au (0.000, 0.500, 0.500)

## Properties
DFT formation energy, eV/atom: 0.017
D(E_F), states/eV/atom: 0.21
Magnetization, μB per formula unit: 0.00
ΔE to the lowest computed polymorph, meV/atom: 0
Mass density, g cm⁻³: 11.92
Space-group type: Pmmm, No. 47
Volume, A^3/atom: 15.038


# 3
Computed, not measured: a relaxed CuAgAu4 crystal at the PBE-GGA level of DFT.

Unit cell a=5.071 b=5.071 c=9.190 alpha=42.69 beta=42.69 gamma=46.70
Fractional coordinates of all 6 atoms:
Ag (0.500, 0.500, 0.500)
Au (0.663, 0.663, 0.677)
Au (0.170, 0.170, 0.164)
Au (0.337, 0.337, 0.323)
Au (0.830, 0.830, 0.836)
Cu (0.000, 0.000, 0.000)

## Properties
DFT formation energy, eV/atom: -0.012
D(E_F), states/eV/atom: 0.26
Magnetization, μB per formula unit: 0.00
ΔE to the lowest computed polymorph, meV/atom: 0
Mass density, g cm⁻³: 15.46
Space-group type: C2/m, No. 12
Volume, A^3/atom: 17.178